Material: Sc2TiMnO6
Method: DFT, PBE+U
State: relaxed

It has space group R3 (No. 146, hexagonal axes), with a = 5.3056 Å, b = 5.3056 Å, c = 14.2860 Å, α = 90.00°, β = 90.00° and γ = 120.00°. The asymmetric unit holds Sc at (0.0000, 0.0000, 0.0000), Sc at (0.0000, 0.0000, 0.4991), Ti at (0.0000, 0.0000, 0.2071), Mn at (0.0000, 0.0000, 0.7160), O at (0.0106, 0.7177, 0.1061) and O at (0.0268, 0.3362, 0.2664).

The total energy comes out at -263.7 eV for the cell shown.